Entry 1:
# CaTePd, relaxed, DFT PBE-GGA
data_CaTePd
_chemical_formula_sum 'Ca2 Te2 Pd2'
_cell_length_a 4.502
_cell_length_b 4.502
_cell_length_c 7.112
_cell_angle_alpha 90.00
_cell_angle_beta 90.00
_cell_angle_gamma 90.00
_space_group_name_H-M_alt 'P 4/n m m'
_space_group_IT_number 129
loop_
_space_group_symop_operation_xyz
'x,y,z'
'-x,-y,-z'
'-y+1/2,x,z'
'y+1/2,-x,-z'
'-x+1/2,-y+1/2,z'
'x+1/2,y+1/2,-z'
'y,-x+1/2,z'
'-y,x+1/2,-z'
'x+1/2,-y,-z'
'-x+1/2,y,z'
'-y,-x,-z'
'y,x,z'
'-x,y+1/2,-z'
'x,-y+1/2,z'
'y+1/2,x+1/2,-z'
'-y+1/2,-x+1/2,z'
loop_
_atom_site_label
_atom_site_type_symbol
_atom_site_fract_x
_atom_site_fract_y
_atom_site_fract_z
_atom_site_occupancy
Ca1 Ca 0.250 0.250 0.205 1
Te1 Te 0.250 0.250 0.753 1
Pd1 Pd 0.250 0.750 0.500 1
# Raw formation energy: -99.7 kJ per mole of atoms
# Theoretical density: 6.3 g/cm3
# Total moment: 0.000 Bohr magnetons per cell
# Calculated volume: 144.1 Å³ per cell


Entry 2:
# LiY6Ga5, relaxed, DFT PBE-GGA
data_LiY6Ga5
_chemical_formula_sum 'Li2 Y12 Ga10'
_cell_length_a 5.082
_cell_length_b 15.345
_cell_length_c 7.116
_cell_angle_alpha 90.00
_cell_angle_beta 90.00
_cell_angle_gamma 90.00
_space_group_name_H-M_alt 'C m m m'
_space_group_IT_number 65
_space_group_name_Hall '-C 2 2'
loop_
_atom_site_label
_atom_site_type_symbol
_atom_site_fract_x
_atom_site_fract_y
_atom_site_fract_z
_atom_site_occupancy
Li1 Li 0.000 0.000 0.000 1
Y1 Y 0.000 0.170 0.250 1
Y2 Y 0.000 0.500 0.256 1
Ga1 Ga 0.000 0.000 0.500 1
Ga2 Ga 0.000 0.335 0.500 1
Ga3 Ga 0.000 0.344 0.000 1
# ΔH_f (0 K): -543 meV/atom
# Theoretical density: 5.3 g/cm3
# Total moment: 0.000 Bohr magnetons per cell
# Calculated volume: 554.9 Å³ per cell


Entry 3:
# GdPdAu, relaxed, DFT PBE-GGA
data_GdPdAu
_chemical_formula_sum 'Gd1 Pd1 Au1'
_cell_length_a 4.6476
_cell_length_b 4.6476
_cell_length_c 3.4804
_cell_angle_alpha 90.00
_cell_angle_beta 90.00
_cell_angle_gamma 120.00
_space_group_name_H-M_alt 'P -6 m 2'
_space_group_IT_number 187
_space_group_name_Hall 'P -6 2'
loop_
_atom_site_label
_atom_site_type_symbol
_atom_site_fract_x
_atom_site_fract_y
_atom_site_fract_z
_atom_site_occupancy
Gd1 Gd 0.0000 0.0000 0.0000 1
Pd1 Pd 0.3333 0.6667 0.5000 1
Au1 Au 0.6667 0.3333 0.5000 1
# Relative energy among the computed polymorphs: 0.0552 eV/atom
# ΔH_f (0 K): -748 meV/atom
# Theoretical density: 11.7 g/cm3
# Total moment: 7.092 Bohr magnetons per cell
# Calculated volume: 65.1 Å³ per cell